# 1
The following is a PBE calculation of a geometry-optimized Ti6AlBi3 structure, from the Alexandria database.

As for the calculated formation energy: -0.03 eV/atom. For the magnetization, the calculation gives 0.000 μB/atom. The crystal system is orthorhombic. Its space-group type is Cmc2_1.

```
Ti6AlBi3
1.0
4.290 -6.918 0.000
4.290 6.918 0.000
0.000 0.000 7.086
Ti Al Bi
12 2 6
direct
0.002 0.560 0.508
0.064 0.936 0.500
0.204 0.389 0.715
0.260 0.740 0.787
0.389 0.204 0.215
0.440 0.998 0.508
0.560 0.002 0.008
0.611 0.796 0.715
0.740 0.260 0.287
0.796 0.611 0.215
0.936 0.064 0.000
0.998 0.440 0.008
0.191 0.809 0.203
0.809 0.191 0.703
0.106 0.296 0.337
0.296 0.106 0.837
0.425 0.575 0.040
0.575 0.425 0.540
0.704 0.894 0.337
0.894 0.704 0.837
```

# 2
The following is a PBE calculation of a geometry-optimized KSc2Hg structure, from the Alexandria database.

As for the calculated formation energy: 0.16 eV/atom. For the magnetization, the calculation gives 0.005 μB/atom. The crystal system is orthorhombic. Its space-group type is Immm.

```
KSc2Hg
1.0
-1.674 2.893 5.951
1.674 -2.893 5.951
1.674 2.893 -5.951
K Sc Hg
1 2 1
direct
0.000 0.000 0.000
0.291 0.791 0.500
0.709 0.209 0.500
0.500 0.500 0.000
```